# 1
This record from Alexandria via LeMat-Bulk describes a geometry-optimized Nd2DyYTh structure. The functional is PBE-GGA.

Calculated values
- energy of formation from the pure elements (eV per atom) = 0.297

Structure (POSCAR):
```
Nd2DyYTh
1.0
8.386 0.000 0.000
0.000 6.486 0.000
-0.028 0.000 6.415
Nd Dy Y Th
4 2 2 2
direct
0.194 0.211 0.252
0.194 0.789 0.752
0.806 0.211 0.248
0.806 0.789 0.748
0.500 0.500 0.000
0.500 0.500 0.500
0.000 0.312 0.750
0.000 0.688 0.250
0.500 0.062 0.750
0.500 0.938 0.250
```

---

# 2
This record from Alexandria via LeMat-Bulk describes a geometry-optimized Ti2BeCd structure. The functional is PBE-GGA.

Calculated values
- energy of formation from the pure elements (eV per atom) = 0.148

Structure (POSCAR):
```
Ti2BeCd
1.0
0.000 3.181 3.181
3.181 0.000 3.181
3.181 3.181 0.000
Ti Be Cd
2 1 1
direct
0.250 0.250 0.250
0.750 0.750 0.750
0.000 0.000 0.000
0.500 0.500 0.500
```

---

# 3
This record from Alexandria via LeMat-Bulk describes a geometry-optimized SiTc2AgAs structure. The functional is PBE-GGA.

Calculated values
- formation energy without anion corrections (eV/atom) = 1.8711

Structure (POSCAR):
```
SiTc2AgAs
1.0
5.085 0.000 0.000
0.000 5.085 0.000
0.000 0.000 4.430
Si Tc Ag As
1 2 1 1
direct
0.000 0.000 0.000
0.000 0.500 0.500
0.500 0.000 0.500
0.000 0.000 0.500
0.500 0.500 0.000
```

---

VASP energy values, unit eV for the cell shown, following the record order: -53.07 -19.84 -24.30.
N(E_F) values, unit states/eV per cell, following the record order: 14.1 0.5 4.5.